[1]
This record from OQMD via LeMat-Bulk describes a geometry-optimized Na2GaTe4Ir structure. The functional is PBE.

Cell lengths 7.5637, 7.5637, 8.6746 Å; angles 90.00, 90.00, 90.00 degrees
Space group I-4 (No. 82)
Symmetry-distinct sites (fractional):
Na 0.0000 0.0000 0.0000 x2
Na 0.0000 0.5000 0.2500 x2
Ga 0.0000 0.5000 0.7500 x2
Te 0.1895 0.2557 0.6025 x8
Ir 0.0000 0.0000 0.5000 x2

***

[2]
This record from OQMD via LeMat-Bulk describes a geometry-optimized Pm6Si2As structure. The functional is PBE.

Cell lengths 8.1058, 8.1058, 4.2577 Å; angles 90.00, 90.00, 120.00 degrees
Space group P-62m (No. 189)
Symmetry-distinct sites (fractional):
Pm 0.0000 0.2664 0.0000 x3
Pm 0.0000 0.5900 0.5000 x3
Si 0.3333 0.6667 0.0000 x2
As 0.0000 0.0000 0.5000 x1

***

[3]
This record from OQMD via LeMat-Bulk describes a geometry-optimized ThHg structure. The functional is PBE.

Cell lengths 6.8968, 6.8968, 6.8968 Å; angles 90.00, 90.00, 90.00 degrees
Space group F-43m (No. 216)
Symmetry-distinct sites (fractional):
Th 0.0000 0.0000 0.0000 x4
Hg 0.2500 0.2500 0.2500 x4

***

[4]
This record from OQMD via LeMat-Bulk describes a geometry-optimized FeW4AuN2 structure. The functional is PBE.

Cell lengths 2.8256, 2.8256, 14.9614 Å; angles 90.00, 90.00, 120.00 degrees
Space group P-6m2 (No. 187)
Symmetry-distinct sites (fractional):
Fe 0.0000 0.0000 0.0000 x1
W 0.0000 0.0000 0.3357 x2
W 0.3333 0.6667 0.1422 x2
Au 0.3333 0.6667 0.5000 x1
N 0.6667 0.3333 0.2407 x2

***

The following VASP energy values (in eV per atom) correspond, in order, to the records above: -3.703, -5.524, -3.111, -9.809.